A plane-wave DFT calculation with PBE was carried out for a relaxed Er4AlCo crystal.

The structure in extended XYZ format:
```
24
Lattice="0.000 6.588 6.588 6.588 0.000 6.588 6.588 6.588 0.000" Properties=species:S:1:pos:R:3 pbc="T T T"
Er 6.588 6.588 2.478
Er 6.588 2.478 6.588
Er 10.698 6.588 6.588
Er 5.280 5.280 5.280
Er 7.895 7.895 5.280
Er 7.895 5.280 7.895
Er 9.882 9.882 7.349
Er 9.882 7.349 9.882
Er 12.415 9.882 9.882
Er 5.280 7.895 7.895
Er 2.478 6.588 6.588
Er 6.588 10.698 6.588
Er 6.588 6.588 10.698
Er 7.349 9.882 9.882
Er 9.882 12.415 9.882
Er 9.882 9.882 12.415
Al 2.272 2.272 2.272
Al 4.316 4.316 2.272
Al 4.316 2.272 4.316
Al 2.272 4.316 4.316
Co 8.029 5.147 5.147
Co 5.147 8.029 5.147
Co 5.147 5.147 8.029
Co 8.029 8.029 8.029
```

Results
The polymorph energy (0 for the lowest one) is 0 meV per atom. The total magnetization comes out at 0.000 μB per formula unit.

***

A plane-wave DFT calculation with PBE was carried out for a relaxed Er3AlCo3 crystal.

The structure in extended XYZ format:
```
14
Lattice="2.008 -4.986 0.000 2.008 4.986 0.000 0.000 0.000 12.860" Properties=species:S:1:pos:R:3 pbc="T T T"
Er 2.008 4.911 9.645
Er 2.008 2.058 7.779
Er 2.008 2.058 11.512
Er 2.008 -2.058 1.348
Er 2.008 -2.058 5.082
Er 2.008 -4.911 3.215
Al 0.000 0.000 0.000
Al 0.000 0.000 6.430
Co 2.008 2.067 3.215
Co 2.008 0.831 1.209
Co 2.008 0.831 5.221
Co 2.008 -0.831 7.639
Co 2.008 -0.831 11.651
Co 2.008 -2.067 9.645
```

Results
The total magnetization comes out at 0.000 μB per formula unit.

***

A plane-wave DFT calculation with PBE was carried out for a relaxed ErAlCo2 crystal.

The structure in extended XYZ format:
```
4
Lattice="4.279 0.000 0.000 0.000 4.279 0.000 0.000 0.000 3.214" Properties=species:S:1:pos:R:3 pbc="T T T"
Er 0.000 0.000 0.000
Al 2.140 2.140 0.000
Co 0.000 2.140 1.607
Co 2.140 0.000 1.607
```

Results
The total magnetization comes out at 0.000 μB per formula unit.

***

A plane-wave DFT calculation with PBE was carried out for a relaxed Er5AlCo2 crystal.

The structure in extended XYZ format:
```
16
Lattice="-3.749 3.749 6.547 3.749 -3.749 6.547 3.749 3.749 -6.547" Properties=species:S:1:pos:R:3 pbc="T T T"
Er 0.000 0.000 0.000
Er 4.968 1.220 -1.768
Er 1.220 2.529 -1.768
Er 4.968 1.220 1.768
Er 1.220 2.529 1.768
Er 0.000 0.000 6.547
Er 2.529 1.220 4.779
Er -1.220 2.529 4.779
Er 2.529 1.220 8.315
Er -1.220 2.529 8.315
Al 0.000 0.000 3.273
Al 0.000 0.000 9.820
Co 2.764 0.984 0.000
Co 2.764 -0.984 6.547
Co 0.984 4.733 0.000
Co 0.984 2.764 6.547
```

Results
The total magnetization comes out at 0.000 μB per formula unit.

***

A plane-wave DFT calculation with PBE was carried out for a relaxed Er8Al2Co crystal.

The structure in extended XYZ format:
```
11
Lattice="8.605 -2.615 0.000 8.605 2.615 0.000 -2.499 0.000 6.238" Properties=species:S:1:pos:R:3 pbc="T T T"
Er -0.460 0.000 1.721
Er 1.535 0.000 4.796
Er 4.694 0.000 3.546
Er 6.718 0.000 0.541
Er 7.992 0.000 5.696
Er 10.016 0.000 2.692
Er 13.175 0.000 1.441
Er 15.170 0.000 4.516
Al 2.593 0.000 1.236
Al 12.118 0.000 5.001
Co 7.355 0.000 3.119
```

Results
The total magnetization comes out at 0.001 μB per formula unit.

***

A plane-wave DFT calculation with PBE was carried out for a relaxed Er12AlCo6 crystal.

The structure in extended XYZ format:
```
19
Lattice="-4.762 4.762 4.762 4.762 -4.762 4.762 4.762 4.762 -4.762" Properties=species:S:1:pos:R:3 pbc="T T T"
Er 4.762 -1.902 2.923
Er 2.860 1.839 0.000
Er 6.663 1.839 0.000
Er 2.923 4.762 -1.902
Er 1.839 0.000 2.860
Er 0.000 2.860 1.839
Er 4.762 1.902 2.923
Er 2.923 4.762 1.902
Er 1.839 0.000 6.663
Er -1.902 2.923 4.762
Er 1.902 2.923 4.762
Er 0.000 6.663 1.839
Al 0.000 0.000 0.000
Co 4.762 0.000 1.088
Co 4.762 3.673 0.000
Co 1.088 4.762 0.000
Co 3.673 0.000 4.762
Co 0.000 1.088 4.762
Co 0.000 4.762 3.673
```

Results
The total magnetization comes out at 0.000 μB per formula unit.

***

| no. | energy of formation from the pure elements (eV per atom) |
| --- | --- |
| 1 | -0.302 |
| 2 | -0.379 |
| 3 | -0.270 |
| 4 | -0.246 |
| 5 | -0.169 |
| 6 | -0.249 |